# SnWI2O

A relaxed structure of SnWI2O (PBE+U, the Alexandria database).

E_tot in eV per atom: -3.53
DOS at the Fermi energy in states/eV/f.u.: 1.82
Calculated volume in Å³ per cell: 159

```
data_SnWI2O
_chemical_formula_sum 'Sn1 W1 I2 O1'
_space_group_name_H-M_alt 'P 4/m m m'
_space_group_IT_number 123
_space_group_name_Hall '-P 4 2'
_cell_length_a 6.2725
_cell_length_b 6.2725
_cell_length_c 4.0492
_cell_angle_alpha 90.00
_cell_angle_beta 90.00
_cell_angle_gamma 90.00
loop_
_atom_site_label
_atom_site_fract_x
_atom_site_fract_y
_atom_site_fract_z
_atom_site_occupancy
Sn1 0.0000 0.0000 0.0000 1
W1 0.5000 0.5000 0.5000 1
I1 0.0000 0.5000 0.0000 1
O1 0.0000 0.0000 0.5000 1
```